DFT (GGA-PBE) results for a relaxed structure of Pm5Sm4Y3.

Summary:
Its crystal system is triclinic. The value obtained for the offset from the most stable computed form is 0.000 eV/atom. Its density of states at the Fermi level is 16.19 states/eV per cell. The calculation puts the energy of formation from the pure elements at 0.012 eV/atom.

a b c (Å): 6.277 7.242 8.876
angles (deg): 90.03 90.15 90.17
Space group P-1 (No. 2)
Unique sites:
Pm  0.000  0.000  0.000 [1 per cell]
Pm  0.333  0.499  0.333 [2 per cell]
Pm  0.499  0.250  0.000 [2 per cell]
Sm  0.167  0.750  0.666 [2 per cell]
Sm  0.334  0.000  0.333 [2 per cell]
Y  0.000  0.500  0.000 [1 per cell]
Y  0.167  0.250  0.666 [2 per cell]


DFT (GGA-PBE) results for a relaxed structure of Pm4Sm5Y4.

Summary:
Its crystal system is tetragonal. Its density of states at the Fermi level is 36.62 states/eV per cell. The calculation puts the energy of formation from the pure elements at 0.014 eV/atom.

a b c (Å): 13.070 13.070 5.099
angles (deg): 90.00 90.00 90.00
Space group I4/m (No. 87)
Unique sites:
Pm  0.077  0.384  0.000 [8 per cell]
Sm  0.000  0.000  0.000 [2 per cell]
Sm  0.039  0.191  0.500 [8 per cell]
Y  0.154  0.769  0.000 [8 per cell]


DFT (GGA-PBE) results for a relaxed structure of PmSm2Y6.

Summary:
Its crystal system is monoclinic. The value obtained for the offset from the most stable computed form is 0.000 eV/atom. Its density of states at the Fermi level is 49.31 states/eV per cell. The calculation puts the energy of formation from the pure elements at 0.097 eV/atom.

a b c (Å): 12.951 14.299 6.612
angles (deg): 90.00 102.99 90.00
Space group C2/c (No. 15)
Unique sites:
Pm  0.000  0.120  0.250 [4 per cell]
Sm  0.139  0.475  0.371 [8 per cell]
Y  0.035  0.313  0.003 [8 per cell]
Y  0.135  0.086  0.816 [8 per cell]
Y  0.240  0.300  0.729 [8 per cell]


DFT (GGA-PBE) results for a relaxed structure of Pm4Sm3Y8.

Summary:
Its crystal system is monoclinic. The value obtained for the offset from the most stable computed form is 0.235 eV/atom. Its density of states at the Fermi level is 63.94 states/eV per cell. The calculation puts the energy of formation from the pure elements at 0.366 eV/atom.

a b c (Å): 13.556 12.908 6.807
angles (deg): 90.00 120.11 90.00
Space group C2/m (No. 12)
Unique sites:
Pm  0.000  0.000  0.000 [2 per cell]
Pm  0.000  0.000  0.500 [2 per cell]
Pm  0.250  0.250  0.000 [4 per cell]
Sm  0.000  0.500  0.000 [2 per cell]
Sm  0.250  0.250  0.500 [4 per cell]
Y  0.000  0.254  0.000 [4 per cell]
Y  0.000  0.358  0.500 [4 per cell]
Y  0.233  0.500  0.971 [4 per cell]
Y  0.234  0.500  0.492 [4 per cell]


DFT (GGA-PBE) results for a relaxed structure of PmSm8Y6.

Summary:
Its crystal system is trigonal. Its density of states at the Fermi level is 70.91 states/eV per cell. The calculation puts the energy of formation from the pure elements at 0.118 eV/atom.

a b c (Å): 9.1453 9.1453 20.8763
angles (deg): 90.00 90.00 120.00
Space group R-3 (No. 148, hexagonal axes)
Unique sites:
Pm  0.0000  0.0000  0.0000 [3 per cell]
Sm  0.0000  0.0000  0.4232 [6 per cell]
Sm  0.0807  0.5247  0.8070 [18 per cell]
Y  0.0489  0.8052  0.7062 [18 per cell]


DFT (GGA-PBE) results for a relaxed structure of PmSm12Y7.

Summary:
Its crystal system is trigonal. The value obtained for the offset from the most stable computed form is 0.000 eV/atom. Its density of states at the Fermi level is 112.68 states/eV per cell. The calculation puts the energy of formation from the pure elements at 0.166 eV/atom.

a b c (Å): 15.2503 15.2503 10.0883
angles (deg): 90.00 90.00 120.00
Space group R-3 (No. 148, hexagonal axes)
Unique sites:
Pm  0.0000  0.0000  0.0000 [3 per cell]
Sm  0.0448  0.2471  0.5751 [18 per cell]
Sm  0.0467  0.2013  0.2526 [18 per cell]
Y  0.0000  0.0000  0.5000 [3 per cell]
Y  0.0653  0.2464  0.9258 [18 per cell]


energy of formation from the pure elements of number 4 (Pm4Sm3Y8)? 0.366 eV/atom


Repeat the second record exactly.
DFT (GGA-PBE) results for a relaxed structure of Pm4Sm5Y4.

Summary:
Its crystal system is tetragonal. Its density of states at the Fermi level is 36.62 states/eV per cell. The calculation puts the energy of formation from the pure elements at 0.014 eV/atom.

a b c (Å): 13.070 13.070 5.099
angles (deg): 90.00 90.00 90.00
Space group I4/m (No. 87)
Unique sites:
Pm  0.077  0.384  0.000 [8 per cell]
Sm  0.000  0.000  0.000 [2 per cell]
Sm  0.039  0.191  0.500 [8 per cell]
Y  0.154  0.769  0.000 [8 per cell]


Number 5 is which compound? PmSm8Y6